[1]
# Zn3TeS2 | the Alexandria database | GGA-PBE | relaxed
data_Zn3TeS2
_chemical_formula_sum 'Zn12 Te4 S8'
_space_group_name_H-M_alt 'C 1 c 1'
_space_group_IT_number 9
_space_group_name_Hall 'C -2yc'
_cell_length_a 6.9609
_cell_length_b 12.0729
_cell_length_c 6.9504
_cell_angle_alpha 90.00
_cell_angle_beta 109.31
_cell_angle_gamma 90.00
loop_
_atom_site_label
_atom_site_type_symbol
_atom_site_fract_x
_atom_site_fract_y
_atom_site_fract_z
Zn1 Zn 0.0000 0.0816 0.0000
Zn2 Zn 0.4553 0.1006 0.4683
Zn3 Zn 0.4643 0.2641 0.9978
Te1 Te 0.0982 0.4143 0.3657
S1 S 0.0981 0.0829 0.3645
S2 S 0.0998 0.2434 0.8636
# **Formation energy from raw total energies**: -0.655 eV/atom
# **Theoretical density**: 4.67 g/cm3
# **Final energy**: -3.1919 eV per atom

=====

[2]
# ZrTe3S | the Alexandria database | GGA-PBE | relaxed
data_ZrTe3S
_chemical_formula_sum 'Zr1 Te3 S1'
_space_group_name_H-M_alt 'P m -3 m'
_space_group_IT_number 221
_space_group_name_Hall '-P 4 2 3'
_cell_length_a 5.5753
_cell_length_b 5.5753
_cell_length_c 5.5753
_cell_angle_alpha 90.00
_cell_angle_beta 90.00
_cell_angle_gamma 90.00
loop_
_atom_site_label
_atom_site_type_symbol
_atom_site_fract_x
_atom_site_fract_y
_atom_site_fract_z
Zr1 Zr 0.0000 0.0000 0.0000
Te1 Te 0.0000 0.0000 0.5000
S1 S 0.5000 0.5000 0.5000
# **Formation energy from raw total energies**: 0.274 eV/atom
# **Relative energy among the computed polymorphs**: 0.0000 eV/atom
# **Theoretical density**: 4.85 g/cm3
# **Final energy**: -4.1462 eV per atom
# **Density of states at the Fermi level**: 7.103 states/eV/cell

=====

[3]
# ZrTeS3 | the Alexandria database | GGA-PBE | relaxed
data_ZrTeS3
_chemical_formula_sum 'Zr1 Te1 S3'
_space_group_name_H-M_alt 'P m -3 m'
_space_group_IT_number 221
_space_group_name_Hall '-P 4 2 3'
_cell_length_a 4.9729
_cell_length_b 4.9729
_cell_length_c 4.9729
_cell_angle_alpha 90.00
_cell_angle_beta 90.00
_cell_angle_gamma 90.00
loop_
_atom_site_label
_atom_site_type_symbol
_atom_site_fract_x
_atom_site_fract_y
_atom_site_fract_z
Zr1 Zr 0.0000 0.0000 0.0000
Te1 Te 0.5000 0.5000 0.5000
S1 S 0.0000 0.5000 0.5000
# **Formation energy from raw total energies**: 0.473 eV/atom
# **Relative energy among the computed polymorphs**: 0.7704 eV/atom
# **Theoretical density**: 4.25 g/cm3
# **Final energy**: -4.3415 eV per atom
# **Density of states at the Fermi level**: 6.224 states/eV/cell